No. 1
Ta2TiCo9 | PBE | optimized geometry

## Properties
DOS at the Fermi energy: 15.4 states/eV/cell
magnetic moment: 5.87 μB per formula unit
DFT formation energy: -5.5 kcal/mol of atoms
DFT total energy: -8.20 eV/atom

a b c (Å): 3.635 3.635 10.881
angles (deg): 90.00 90.00 90.00
Space group P4/mmm (No. 123)
Symmetry-distinct sites (fractional):
Ta: 0.000 0.000 0.168 x2
Ti: 0.000 0.000 0.500 x1
Co: 0.000 0.500 0.000 x2
Co: 0.000 0.500 0.337 x4
Co: 0.500 0.500 0.168 x2
Co: 0.500 0.500 0.500 x1

---

No. 2
HgIrRu | PBE | optimized geometry

## Properties
DOS at the Fermi energy: 3.3 states/eV/cell
energy relative to the lowest polymorph listed for this composition: 0.083 eV/atom
magnetic moment: 0.00 μB per formula unit
DFT formation energy: 8.7 kcal/mol of atoms
DFT total energy: -5.77 eV/atom

a b c (Å): 2.8449 2.8449 6.9873
angles (deg): 90.00 90.00 120.00
Space group P3m1 (No. 156)
Symmetry-distinct sites (fractional):
Hg: 0.0000 0.0000 0.0000 x1
Ir: 0.6667 0.3333 0.3586 x1
Ru: 0.3333 0.6667 0.6495 x1

---

No. 3
DyHo2Zn2Ga2 | PBE | optimized geometry

## Properties
DOS at the Fermi energy: 9.5 states/eV/cell
magnetic moment: 0.00 μB per formula unit
DFT formation energy: -9.1 kcal/mol of atoms
DFT total energy: -3.59 eV/atom

a b c (Å): 4.4352 4.4352 27.2208
angles (deg): 90.00 90.00 120.00
Space group R-3m (No. 166, hexagonal axes)
Symmetry-distinct sites (fractional):
Dy: 0.0000 0.0000 0.0000 x3
Ho: 0.0000 0.0000 0.1267 x6
Zn: 0.0000 0.0000 0.3979 x6
Ga: 0.0000 0.0000 0.2625 x6

---

No. 4
TlCd2H | PBE | optimized geometry

## Properties
DOS at the Fermi energy: 1.3 states/eV/cell
energy relative to the lowest polymorph listed for this composition: 0.000 eV/atom
magnetic moment: 0.00 μB per formula unit
DFT total energy: -1.70 eV/atom

a b c (Å): 3.504 4.937 10.013
angles (deg): 89.47 82.59 88.10
Space group P-1 (No. 2)
Symmetry-distinct sites (fractional):
Tl: 0.181 0.247 0.374 x2
Cd: 0.268 0.751 0.954 x2
Cd: 0.314 0.254 0.796 x2
H: 0.422 0.251 0.611 x2

---

No. 5
CrMo2As | PBE | optimized geometry

## Properties
DOS at the Fermi energy: 11.8 states/eV/cell
magnetic moment: 0.00 μB per formula unit
DFT formation energy: 7.5 kcal/mol of atoms
DFT total energy: -8.66 eV/atom

a b c (Å): 2.9787 2.9787 23.7453
angles (deg): 90.00 90.00 120.00
Space group R-3m (No. 166, hexagonal axes)
Symmetry-distinct sites (fractional):
Cr: 0.0000 0.0000 0.0000 x3
Mo: 0.0000 0.0000 0.2542 x6
As: 0.0000 0.0000 0.5000 x3

---

No. 6
Fe2HPd | PBE | optimized geometry

## Properties
DOS at the Fermi energy: 6.2 states/eV/cell
energy relative to the lowest polymorph listed for this composition: 0.000 eV/atom
magnetic moment: 5.46 μB per formula unit
DFT total energy: -6.35 eV/atom

a b c (Å): 2.6913 2.6913 19.6731
angles (deg): 90.00 90.00 120.00
Space group R3m (No. 160, hexagonal axes)
Symmetry-distinct sites (fractional):
Fe: 0.0000 0.0000 0.0000 x3
Fe: 0.0000 0.0000 0.2209 x3
H: 0.0000 0.0000 0.6076 x3
Pd: 0.0000 0.0000 0.7771 x3